Entry 1:
Material: Cs4TbTm3Te8
Method: DFT, PBE-GGA
State: relaxed

abc: 9.0519 9.0519 26.7338
angles: 90.00 90.00 120.00
Space group R-3m (No. 166, hexagonal axes)
Symmetry-distinct sites (fractional):
Cs1 0.0000 0.0000 0.0000 x3
Cs2 0.0000 0.5000 0.0000 x9
Tb1 0.0000 0.0000 0.5000 x3
Tm1 0.0000 0.5000 0.5000 x9
Te1 0.0000 0.0000 0.2290 x6
Te2 0.0033 0.5017 0.7705 x18

Computed properties:
As for the energy relative to the elements, uncorrected: -1.37 eV per atom.

Entry 2:
Material: Cs3Tb3UTe8
Method: DFT, PBE-GGA
State: relaxed

abc: 15.592 8.992 10.490
angles: 90.00 119.77 90.00
Space group C2/m (No. 12)
Symmetry-distinct sites (fractional):
Cs1 0.000 0.000 0.000 x2
Cs2 0.250 0.250 0.000 x4
Tb1 0.000 0.500 0.500 x2
Tb2 0.250 0.250 0.500 x4
U1 0.000 0.000 0.500 x2
Te1 0.020 0.249 0.312 x8
Te2 0.228 0.000 0.688 x4
Te3 0.230 0.500 0.690 x4

Computed properties:
As for the energy relative to the elements, uncorrected: -1.25 eV per atom. Its density of states at the Fermi level is 5.65 states/eV/f.u.

Entry 3:
Material: Cs2TbU2Te6
Method: DFT, PBE-GGA
State: relaxed

abc: 7.734 13.404 9.548
angles: 90.00 105.58 90.00
Space group C2/m (No. 12)
Symmetry-distinct sites (fractional):
Cs1 0.000 0.165 0.000 x4
Tb1 0.000 0.000 0.500 x2
U1 0.000 0.333 0.500 x4
Te1 0.226 0.500 0.689 x4
Te2 0.231 0.167 0.689 x8

Computed properties:
As for the energy relative to the elements, uncorrected: -1.01 eV per atom. Its density of states at the Fermi level is 16.27 states/eV/f.u.

Entry 4:
Material: Cs3TbU2Te6
Method: DFT, PBE-GGA
State: relaxed

abc: 7.912 13.704 9.350
angles: 90.00 106.38 90.00
Space group C2/m (No. 12)
Symmetry-distinct sites (fractional):
Cs1 0.000 0.000 0.000 x2
Cs2 0.000 0.333 0.000 x4
Tb1 0.000 0.500 0.500 x2
U1 0.000 0.167 0.500 x4
Te1 0.230 0.334 0.692 x8
Te2 0.232 0.000 0.692 x4

Computed properties:
As for the energy relative to the elements, uncorrected: -1.01 eV per atom. Its density of states at the Fermi level is 14.93 states/eV/f.u.

Entry 5:
Material: Cs3Tb2UTe6
Method: DFT, PBE-GGA
State: relaxed

abc: 7.947 13.766 9.323
angles: 90.00 106.50 90.00
Space group C2/m (No. 12)
Symmetry-distinct sites (fractional):
Cs1 0.000 0.000 0.000 x2
Cs2 0.000 0.334 0.000 x4
Tb1 0.000 0.167 0.500 x4
U1 0.000 0.500 0.500 x2
Te1 0.227 0.000 0.691 x4
Te2 0.232 0.332 0.691 x8

Computed properties:
As for the energy relative to the elements, uncorrected: -1.20 eV per atom. Its density of states at the Fermi level is 10.85 states/eV/f.u.

Entry 6:
Material: Cs3Tb2YTe6
Method: DFT, PBE-GGA
State: relaxed

abc: 7.907 13.696 9.303
angles: 90.00 106.46 90.00
Space group C2/m (No. 12)
Symmetry-distinct sites (fractional):
Cs1 0.000 0.000 0.000 x2
Cs2 0.000 0.333 0.000 x4
Tb1 0.000 0.167 0.500 x4
Y1 0.000 0.500 0.500 x2
Te1 0.230 0.334 0.690 x8
Te2 0.231 0.000 0.690 x4

Computed properties:
As for the energy relative to the elements, uncorrected: -1.40 eV per atom.

Entry 7:
Material: Cs4TbY3Te8
Method: DFT, PBE-GGA
State: relaxed

abc: 9.1200 9.1200 26.7516
angles: 90.00 90.00 120.00
Space group R-3m (No. 166, hexagonal axes)
Symmetry-distinct sites (fractional):
Cs1 0.0000 0.0000 0.0000 x3
Cs2 0.0000 0.5000 0.0000 x9
Tb1 0.0000 0.0000 0.5000 x3
Y1 0.0000 0.5000 0.5000 x9
Te1 0.0000 0.0000 0.2300 x6
Te2 0.9995 0.4998 0.2301 x18

Computed properties:
As for the energy relative to the elements, uncorrected: -1.40 eV per atom.

Entry 8:
Material: Cs2TbZn2Te4
Method: DFT, PBE-GGA
State: relaxed

abc: 16.625 4.808 8.767
angles: 90.00 108.45 90.00
Space group C2/m (No. 12)
Symmetry-distinct sites (fractional):
Cs1 0.134 0.000 0.066 x4
Tb1 0.000 0.000 0.500 x2
Zn1 0.173 0.500 0.496 x4
Te1 0.014 0.500 0.273 x4
Te2 0.198 0.000 0.655 x4

Computed properties:
As for the energy relative to the elements, uncorrected: -0.89 eV per atom. Its density of states at the Fermi level is 2.41 states/eV/f.u.

Entry 9:
Material: CsTbTl2
Method: DFT, PBE-GGA
State: relaxed

abc: 3.8871 3.8871 33.4414
angles: 90.00 90.00 120.00
Space group R-3m (No. 166, hexagonal axes)
Symmetry-distinct sites (fractional):
Cs1 0.0000 0.0000 0.0000 x3
Tb1 0.0000 0.0000 0.5000 x3
Tl1 0.0000 0.0000 0.2381 x6

Computed properties:
The value obtained for the formation energy from the elements is -0.0054 eV/atom. Its energy relative to the lowest polymorph listed for this composition is 0.172 eV per atom. Its density of states at the Fermi level is 4.35 states/eV/f.u.

Entry 10:
Material: CsTbTl2
Method: DFT, PBE-GGA
State: relaxed

abc: 3.942 3.942 9.257
angles: 90.00 90.00 90.00
Space group P4/mmm (No. 123)
Symmetry-distinct sites (fractional):
Cs1 0.000 0.000 0.000 x1
Tb1 0.000 0.000 0.500 x1
Tl1 0.500 0.500 0.311 x2

Computed properties:
The value obtained for the formation energy from the elements is -0.1772 eV/atom. Its energy relative to the lowest polymorph listed for this composition is 0.000 eV per atom. Its density of states at the Fermi level is 2.53 states/eV/f.u.

Entry 11:
Material: Cs2TcTe
Method: DFT, PBE-GGA
State: relaxed

abc: 9.010 9.010 9.010
angles: 90.00 90.00 90.00
Space group Fm-3m (No. 225)
Symmetry-distinct sites (fractional):
Cs1 0.250 0.250 0.250 x8
Tc1 0.000 0.000 0.000 x4
Te1 0.000 0.000 0.500 x4

Computed properties:
As for the energy relative to the elements, uncorrected: 0.79 eV per atom. Its energy relative to the lowest polymorph listed for this composition is 0.431 eV per atom. Its density of states at the Fermi level is 7.37 states/eV/f.u.

Entry 12:
Material: Cs3TcTe
Method: DFT, PBE-GGA
State: relaxed

abc: 7.330 7.330 7.330
angles: 90.00 90.00 90.00
Space group Pm-3m (No. 221)
Symmetry-distinct sites (fractional):
Cs1 0.000 0.000 0.500 x3
Tc1 0.500 0.500 0.500 x1
Te1 0.000 0.000 0.000 x1

Computed properties:
As for the energy relative to the elements, uncorrected: 0.56 eV per atom. Its energy relative to the lowest polymorph listed for this composition is 0.000 eV per atom. Its density of states at the Fermi level is 0.05 states/eV/f.u.

Values of spin magnetization, in order: 0.0; 2.0; 5.0; 6.0; 3.0; 0.0; 0.0; 0.0; 0.0; 0.0; 5.0; 4.0, all in μB per formula unit.